Material: ScGeW
Method: DFT, PBE
State: optimized geometry

Calculated values
* theoretical density: 8.68 g cm⁻³
* E: -7.81 eV/atom

abc: 4.3360 4.3360 4.3360
angles: 60.00 60.00 60.00
Last column: nearest neighbours and their distance in Å.
Fractional coordinates of all 3 atoms:
Ge (0.0000, 0.0000, 0.0000)  4 Sc 2.66, 4 W 2.66
Sc (0.2500, 0.2500, 0.2500)  4 Ge 2.66
W (0.7500, 0.7500, 0.7500)  4 Ge 2.66

Material: Sc2ZnGe
Method: DFT, PBE
State: optimized geometry

Calculated values
* theoretical density: 4.86 g cm⁻³
* E: -4.60 eV/atom

abc: 4.7942 4.7942 4.7942
angles: 60.00 60.00 60.00
Last column: nearest neighbours and their distance in Å.
Fractional coordinates of all 4 atoms:
Ge (0.5000, 0.5000, 0.5000)  4 Sc 2.94, 4 Zn 2.94
Sc (0.0000, 0.0000, 0.0000)  4 Zn 2.94, 4 Sc 2.94
Sc (0.7500, 0.7500, 0.7500)  4 Ge 2.94, 4 Sc 2.94
Zn (0.2500, 0.2500, 0.2500)  4 Sc 2.94, 4 Ge 2.94